Compound: CaNdInGa
Source: Alexandria
Functional: PBE
Structure: relaxed

Cell and atoms, written as POSCAR:
```
CaNdInGa
1.0
0.0000 3.7818 3.7818
3.7818 0.0000 3.7818
3.7818 3.7818 0.0000
Ca Nd In Ga
1 1 1 1
Cartesian
0.0000 0.0000 0.0000
3.7818 3.7818 3.7818
1.8909 1.8909 1.8909
5.6727 5.6727 5.6727
```

Results
* symmetry: F-43m, No. 216
* E_form: -0.459 eV per atom
* DFT total energy: -14.37 eV/cell
* volume: 108 Å³/f.u.
* energy above the lowest structure with this stoichiometry: 0.11 eV per formula unit

Compound: KPm2CuSe4
Source: Alexandria
Functional: PBE
Structure: relaxed

Cell and atoms, written as POSCAR:
```
KPm2CuSe4
1.0
2.0996 -7.1949 0.0000
2.0996 7.1949 0.0000
0.0000 0.0000 14.5942
K Pm Cu Se
2 4 2 8
Cartesian
2.0996 5.6064 10.9457
2.0996 -5.6064 3.6486
2.0996 1.9392 8.2332
2.0996 1.9392 13.6582
2.0996 -1.9392 0.9361
2.0996 -1.9392 6.3610
2.0996 4.8986 3.6486
2.0996 -4.8986 10.9457
0.0000 0.0000 0.0000
0.0000 0.0000 7.2971
2.0996 3.3789 1.6793
2.0996 3.3789 5.6178
2.0996 0.9327 10.9457
2.0996 -0.9327 3.6486
2.0996 -3.3789 8.9764
2.0996 -3.3789 12.9149
```

Results
* symmetry: Cmcm, No. 63
* DFT total energy: -81.56 eV/cell
* raw formation energy: -1518.6 meV/atom
* volume: 220 Å³/f.u.

Compound: La2ZrCl
Source: Alexandria
Functional: PBE
Structure: relaxed

Cell and atoms, written as POSCAR:
```
La2ZrCl
1.0
-2.5269 2.5269 4.4590
2.5269 -2.5269 4.4590
2.5269 2.5269 -4.4590
La Zr Cl
2 1 1
Cartesian
2.5269 0.0000 2.2295
0.0000 2.5269 2.2295
0.0000 0.0000 0.0000
0.0000 0.0000 4.4590
```

Results
* symmetry: I4/mmm, No. 139
* DFT total energy: -20.24 eV/cell
* raw formation energy: 1.6 meV/atom
* volume: 114 Å³/f.u.
* energy above the lowest structure with this stoichiometry: 2.32 eV per formula unit